(1)
DFT (PBE) results for an optimized crystal structure of Pr3In3AgAu2.

POSCAR file:
```
Pr3In3AgAu2
1.0
7.904 0.000 0.000
-3.952 6.845 0.000
0.000 0.000 4.200
Ag In Au Pr
1 3 2 3
Direct
0.000 0.000 0.000
0.000 0.252 0.500
0.252 0.000 0.500
0.748 0.748 0.500
0.667 0.333 0.500
0.333 0.667 0.500
0.000 0.587 0.000
0.587 0.000 0.000
0.413 0.413 0.000
```

Output
The total magnetization comes out at 0.00 μB/f.u. Its crystal system is hexagonal.

(2)
DFT (PBE) results for an optimized crystal structure of DyZrU.

POSCAR file:
```
DyZrU
1.0
0.000 3.554 3.554
3.554 0.000 3.554
3.554 3.554 0.000
Dy U Zr
1 1 1
Direct
0.250 0.250 0.250
0.000 0.000 0.000
0.750 0.750 0.750
```

Output
The total magnetization comes out at 4.73 μB/f.u. Its calculated formation energy is 1.28 eV/atom. Its crystal system is cubic.

(3)
DFT (PBE) results for an optimized crystal structure of LiTbAsO.

POSCAR file:
```
LiTbAsO
1.0
-3.654 -0.981 0.337
0.734 -3.317 -1.700
1.893 -4.054 8.726
Li Tb As O
2 2 2 2
Direct
0.500 0.500 0.500
0.000 0.000 0.500
0.000 0.500 0.881
0.500 0.000 0.119
0.500 0.000 0.686
0.000 0.500 0.314
0.000 0.000 0.000
0.500 0.500 0.000
```

Output
The total magnetization comes out at 0.00 μB/f.u. Its crystal system is tetragonal.

(4)
DFT (PBE) results for an optimized crystal structure of Nd2PdPt3Pb2.

POSCAR file:
```
Nd2PdPt3Pb2
1.0
4.744 0.000 0.000
-2.372 4.108 0.000
0.000 0.000 9.226
Pb Pd Pt Nd
2 1 3 2
Direct
0.000 0.000 0.500
0.000 0.000 0.998
0.333 0.667 0.089
0.667 0.333 0.911
0.333 0.667 0.403
0.667 0.333 0.596
0.333 0.667 0.748
0.667 0.333 0.253
```

Output
The total magnetization comes out at 0.01 μB/f.u. Its crystal system is trigonal.

(5)
DFT (PBE) results for an optimized crystal structure of SrLiHg.

POSCAR file:
```
SrLiHg
1.0
3.878 0.000 0.000
0.000 3.878 0.000
0.000 0.000 11.164
Hg Sr Li
2 2 2
Direct
0.500 0.500 0.500
0.000 0.000 0.000
0.000 0.000 0.678
0.000 0.000 0.322
0.500 0.500 0.115
0.500 0.500 0.885
```

Output
Its crystal system is tetragonal.

(6)
DFT (PBE) results for an optimized crystal structure of Nd2GeO5.

POSCAR file:
```
Nd2GeO5
1.0
-0.289 9.409 1.036
-1.386 -0.819 7.048
6.322 -1.667 1.050
O Nd Ge
20 8 4
Direct
0.818 0.949 0.418
0.818 0.551 0.918
0.787 0.363 0.308
0.213 0.637 0.692
0.787 0.137 0.808
0.213 0.863 0.192
0.182 0.449 0.082
0.624 0.630 0.469
0.182 0.051 0.582
0.376 0.130 0.031
0.400 0.839 0.541
0.376 0.370 0.531
0.973 0.312 0.646
0.027 0.812 0.854
0.973 0.188 0.146
0.600 0.161 0.459
0.624 0.870 0.969
0.027 0.688 0.354
0.400 0.661 0.041
0.600 0.339 0.959
0.129 0.130 0.914
0.480 0.108 0.741
0.480 0.392 0.241
0.871 0.630 0.586
0.129 0.370 0.414
0.520 0.608 0.759
0.520 0.892 0.259
0.871 0.870 0.086
0.801 0.325 0.026
0.199 0.675 0.974
0.801 0.175 0.526
0.199 0.825 0.474
```

Output
The total magnetization comes out at 0.00 μB/f.u. Its crystal system is monoclinic.

(7)
DFT (PBE) results for an optimized crystal structure of Nd2Si2O7.

POSCAR file:
```
Nd2Si2O7
1.0
6.733 0.020 0.022
-0.151 6.791 0.028
-0.087 -0.870 12.210
O Nd Si
28 8 8
Direct
0.304 0.719 0.908
0.925 0.579 0.678
0.627 0.861 0.791
0.773 0.079 0.380
0.420 0.170 0.443
0.246 0.096 0.999
0.002 0.996 0.817
0.635 0.514 0.872
0.998 0.335 0.919
0.365 0.486 0.128
0.580 0.830 0.557
0.027 0.234 0.564
0.708 0.233 0.682
0.293 0.574 0.499
0.227 0.921 0.620
0.292 0.767 0.318
0.696 0.281 0.092
0.075 0.421 0.322
0.754 0.904 0.001
0.998 0.004 0.183
0.339 0.221 0.810
0.608 0.407 0.300
0.707 0.426 0.501
0.002 0.665 0.081
0.373 0.139 0.209
0.392 0.593 0.700
0.661 0.779 0.190
0.973 0.766 0.436
0.120 0.081 0.362
0.880 0.919 0.638
0.660 0.175 0.896
0.638 0.748 0.373
0.946 0.674 0.882
0.054 0.326 0.118
0.362 0.252 0.627
0.340 0.825 0.104
0.512 0.325 0.174
0.488 0.675 0.826
0.150 0.621 0.389
0.153 0.155 0.883
0.850 0.379 0.611
0.847 0.845 0.117
0.628 0.260 0.402
0.372 0.740 0.598
```

Output
The total magnetization comes out at 0.00 μB/f.u. Its crystal system is triclinic.

(8)
DFT (PBE) results for an optimized crystal structure of PrSnPO.

POSCAR file:
```
PrSnPO
1.0
-3.207 0.821 -2.641
2.398 -1.189 -3.282
-3.166 -9.143 1.001
Pr O Sn P
2 2 2 2
Direct
0.000 0.500 0.114
0.500 0.000 0.886
0.000 0.000 0.000
0.500 0.500 0.000
0.000 0.000 0.500
0.500 0.500 0.500
0.500 0.000 0.285
0.000 0.500 0.715
```

Output
The total magnetization comes out at 0.01 μB/f.u. Its crystal system is tetragonal.

no.,DFT total energy (eV for the cell shown)
1,-37.69
2,-20.62
3,-47.23
4,-46.08
5,-9.57
6,-242.34
7,-358.99
8,-49.11